This record from Alexandria via LeMat-Bulk describes a geometry-optimized Ba2NiBiO structure. The functional is PBE+U.

Cell and atoms, written as POSCAR:
```
Ba2NiBiO
1.0
-1.332 5.681 2.210
-2.954 -1.359 1.712
3.464 -1.156 5.060
Ba Ni Bi O
2 1 1 1
Cartesian
-0.666 2.840 1.105
1.732 -0.578 2.530
0.000 0.000 0.000
-0.412 1.583 4.491
-1.477 -0.679 0.856
```

## Properties
- E_tot (eV for the cell shown) = -18.3
- total magnetization (Bohr magnetons per cell) = 0.383
- calculated volume (Å³ per cell) = 143.1